A plane-wave DFT calculation with GGA-PBE was carried out for a geometry-optimized K2LiLa structure.

The structure in extended XYZ format:
```
4
Lattice="-3.1202 0.2508 -2.1376 2.3940 -2.4669 -1.5973 -5.5670 -9.9110 6.9630" Properties=species:S:1:pos:R:3 pbc="T T T"
K -1.8613 -3.7753 0.0064
K -5.3352 -9.4984 6.6730
La -3.0141 -5.3661 3.7699
Li -4.4331 -8.3539 3.2231
```

Calculated density = 2.1 g/cm3
Formation enthalpy at 0 K = 0.25 eV per atom
Symmetry = No. 35
N(E_F) = 4.0 states/eV/f.u.